No. 1
Compound: Ti3ZnN
Source: Alexandria via LeMat-Bulk
Functional: PBE
Structure: relaxed

Properties
Raw total energy, eV per cell: -73.8

abc: 5.5889 5.5278 5.1447
angles: 62.26 89.92 89.96
Closest atoms and distances in Å follow each position.
Positions (direct):
N (0.6695, 0.1633, 0.0058)  6 Ti 2.04-2.19
Zn (0.1695, 0.6641, 0.7554)  2 Zn 2.57, 4 Ti 2.61-2.62
Ti (0.3514, 0.1633, 0.2562)  2 N 2.19
Ti (0.8103, 0.8829, 0.3958)  2 N 2.04
Ti (0.9875, 0.1632, 0.7554)  2 N 2.19
Ti (0.5287, 0.8828, 0.8962)  2 N 2.04
Zn (0.1694, 0.6624, 0.2562)  2 Zn 2.57, 4 Ti 2.61-2.62
Ti (0.5287, 0.4437, 0.6157)  2 N 2.04
N (0.6695, 0.1633, 0.5058)  6 Ti 2.04-2.19
Ti (0.8103, 0.4437, 0.1153)  2 N 2.04



No. 2
Compound: NdErBr3
Source: Alexandria via LeMat-Bulk
Functional: PBE
Structure: relaxed

Properties
Raw total energy, eV per cell: -43.7

abc: 3.9280 9.4960 10.1993
angles: 72.52 78.90 78.06
Closest atoms and distances in Å follow each position.
Positions (direct):
Nd (0.8620, 0.9903, 0.2856)  5 Br 2.96-3.07
Br (0.6646, 0.1799, 0.4910)  3 Nd 3.05-3.07
Er (0.4296, 0.1823, 0.9584)  4 Br 2.89-2.92
Br (0.7909, 0.3046, 0.1137)  2 Er 2.92, 1 Nd 2.96
Br (0.2091, 0.6954, 0.8863)  2 Er 2.92, 1 Nd 2.96
Br (0.3354, 0.8201, 0.5090)  3 Nd 3.05-3.07
Er (0.5704, 0.8177, 0.0416)  4 Br 2.89-2.92
Br (0.0355, 0.6808, 0.2483)  2 Er 2.89, 1 Nd 3.00
Nd (0.1380, 0.0097, 0.7144)  5 Br 2.96-3.07
Br (0.9645, 0.3192, 0.7517)  2 Er 2.89, 1 Nd 3.00



No. 3
Compound: Na2InSbF6
Source: Alexandria via LeMat-Bulk
Functional: PBE
Structure: relaxed

Properties
Raw total energy, eV per cell: -44.6

abc: 6.2978 6.5180 6.2972
angles: 60.05 60.15 54.73
Closest atoms and distances in Å follow each position.
Positions (direct):
F (0.3297, 0.6578, 0.7967)  1 Sb 2.01
Na (0.5466, 0.5315, 0.4008)  5 F 2.26-2.47
F (0.1853, 0.3553, 0.7814)  1 Sb 2.16, 1 Na 2.36
In (0.8141, 0.8012, 0.6028)  1 F 2.28
F (0.9374, 0.5973, 0.2175)  1 Sb 2.17, 1 Na 2.34
F (0.5961, 0.3144, 0.1725)  1 Sb 2.15, 1 Na 2.29
Na (0.0383, 0.0300, 0.9416)  5 F 2.26-2.45
Sb (0.3316, 0.3122, 0.0541)  5 F 2.01-2.17
F (0.1736, 0.8792, 0.2852)  2 Na 2.26, 1 In 2.28
F (0.7089, 0.1827, 0.7626)  1 Sb 2.15, 1 Na 2.32



No. 4
Compound: Ce2TmIn4
Source: Alexandria via LeMat-Bulk
Functional: PBE
Structure: relaxed

Properties
Raw total energy, eV per cell: -26.9

abc: 4.8828 6.3773 7.6551
angles: 114.62 90.00 90.00
Closest atoms and distances in Å follow each position.
Positions (direct):
In (0.5000, 0.6316, 0.2632)  2 In 2.91, 2 Tm 3.05, 2 Ce 3.22
Ce (0.5000, 0.8983, 0.7965)  1 Ce 2.83
In (0.5000, 0.3684, 0.7368)  2 In 2.91, 2 Tm 3.05, 2 Ce 3.22
Tm (0.0000, 0.5000, 0.0000)  6 In 3.05-3.41
In (0.0000, 0.2553, 0.5105)  4 In 2.91-3.19, 2 Ce 3.24
Ce (0.5000, 0.1017, 0.2035)  1 Ce 2.83
In (0.0000, 0.7447, 0.4895)  4 In 2.91-3.19, 2 Ce 3.24



No. 5
Compound: Er2ScCo2
Source: Alexandria via LeMat-Bulk
Functional: PBE
Structure: relaxed

Properties
Raw total energy, eV per cell: -30.9

abc: 3.9509 5.6059 5.6059
angles: 61.22 69.39 69.39
Closest atoms and distances in Å follow each position.
Positions (direct):
Co (0.9999, 0.7936, 0.7065)  1 Co 2.36, 2 Sc 2.59
Co (0.0001, 0.2064, 0.2935)  1 Co 2.36, 2 Sc 2.59
Sc (0.5000, 0.5000, 0.0000)  4 Co 2.59
Er (0.6999, 0.8001, 0.3001)  6 Co 2.90-3.13
Er (0.3001, 0.1999, 0.6999)  6 Co 2.90-3.13



No. 6
Compound: Na5SnO5
Source: Alexandria via LeMat-Bulk
Functional: PBE
Structure: relaxed

Properties
Raw total energy, eV per cell: -50.8

abc: 4.5507 5.9430 6.5510
angles: 107.08 90.00 112.51
Closest atoms and distances in Å follow each position.
Positions (direct):
Na (0.3018, 0.6037, 0.6748)  5 O 2.34-2.52
Na (0.6787, 0.3574, 0.8592)  5 O 2.32-2.46
Na (0.3213, 0.6426, 0.1408)  5 O 2.32-2.46
Na (0.0000, 0.0000, 0.5000)  4 O 2.25-2.38
O (0.1468, 0.2937, 0.3000)  1 Sn 2.11, 2 Na 2.34
Na (0.6982, 0.3963, 0.3252)  5 O 2.34-2.52
O (0.5000, 0.0000, 0.0000)  2 Sn 2.28, 4 Na 2.42-2.52
O (0.8532, 0.7063, 0.7000)  1 Sn 2.11, 2 Na 2.34
O (0.8648, 0.7296, 0.1600)  1 Sn 2.07, 3 Na 2.25-2.32
O (0.1352, 0.2705, 0.8400)  1 Sn 2.07, 3 Na 2.25-2.32
Sn (0.0000, 0.0000, 0.0000)  6 O 2.07-2.28



No. 7
Compound: Li2CaPb
Source: Alexandria via LeMat-Bulk
Functional: PBE
Structure: relaxed

Properties
Raw total energy, eV per cell: -10.2

abc: 6.2606 5.4234 3.6725
angles: 86.98 74.31 114.69
Closest atoms and distances in Å follow each position.
Positions (direct):
Li (0.0000, 0.0000, 0.0000)  2 Ca 3.17, 2 Pb 3.17, 4 Li 3.19-3.35
Ca (0.5000, 0.0000, 0.5000)  4 Li 3.17, 4 Pb 3.19-3.35
Pb (0.5000, 0.5000, 0.0000)  4 Li 3.17, 4 Ca 3.19-3.35
Li (0.0000, 0.5000, 0.5000)  2 Pb 3.17, 2 Ca 3.17, 4 Li 3.19-3.35



No. 8
Compound: Tm5ThTl3
Source: Alexandria via LeMat-Bulk
Functional: PBE
Structure: relaxed

Properties
Raw total energy, eV per cell: -77.8

abc: 6.6412 9.3161 9.3156
angles: 120.00 90.00 90.00
Closest atoms and distances in Å follow each position.
Positions (direct):
Th (0.0000, 0.0000, 0.0000)  2 Th 3.32, 6 Tm 3.45, 6 Tl 3.63
Tl (0.2500, 0.3464, 0.0000)  5 Tm 3.07-3.33
Tm (0.2500, 0.3245, 0.3245)  5 Tl 3.07-3.33
Tm (0.7500, 0.6755, 0.6755)  5 Tl 3.07-3.33
Tm (0.5000, 0.3333, 0.6667)  8 Tm 3.32-3.56, 6 Tl 3.47
Tl (0.7500, 0.0000, 0.6536)  5 Tm 3.07-3.33
Tm (0.0000, 0.6667, 0.3333)  8 Tm 3.32-3.56, 6 Tl 3.47
Tl (0.7500, 0.6536, 0.0000)  5 Tm 3.07-3.33
Tm (0.7500, 0.0000, 0.3245)  5 Tl 3.07-3.33
Tm (0.7500, 0.3245, 0.0000)  5 Tl 3.07-3.33
Tl (0.2500, 0.0000, 0.3464)  5 Tm 3.07-3.33
Tm (0.0000, 0.3333, 0.6667)  8 Tm 3.32-3.56, 6 Tl 3.47
Tm (0.2500, 0.0000, 0.6755)  5 Tl 3.07-3.33
Tm (0.5000, 0.6667, 0.3333)  8 Tm 3.32-3.56, 6 Tl 3.47
Tl (0.7500, 0.3463, 0.3464)  5 Tm 3.07-3.33
Tl (0.2500, 0.6537, 0.6536)  5 Tm 3.07-3.33
Th (0.5000, 0.0000, 0.0000)  2 Th 3.32, 6 Tm 3.45, 6 Tl 3.63
Tm (0.2500, 0.6755, 0.0000)  5 Tl 3.07-3.33



no.,spin magnetization (μB/atom)
1,0.000
2,0.000
3,0.000
4,0.346
5,0.000
6,0.096
7,0.000
8,0.000